[1]
A plane-wave DFT calculation with PBE was carried out for an optimized crystal structure of SrCaRh.

The value obtained for the distance to the lowest polymorph of the same formula is 14 meV per atom. The calculated volume is 30.62 Å³/atom. The size of the total moment comes out at 0.0 μB per formula unit. The formation enthalpy at 0 K is -0.26 eV per atom.

The space group is Cmce (No. 64) and the conventional cell measures 6.959, 13.810 and 7.646 Å, with angles of 90.00, 90.00 and 90.00 degrees. The distinct sites, in fractional coordinates, are Sr at (0.000, 0.200, 0.113), Ca at (0.250, 0.033, 0.750) and Rh at (0.000, 0.097, 0.465).


[2]
A plane-wave DFT calculation with PBE was carried out for an optimized crystal structure of Sr2CaRh.

The value obtained for the distance to the lowest polymorph of the same formula is 111 meV per atom. The calculated volume is 35.23 Å³/atom. The size of the total moment comes out at 0.0 μB per formula unit. The formation enthalpy at 0 K is -0.12 eV per atom.

The space group is Imm2 (No. 44) and the conventional cell measures 3.847, 5.879 and 12.463 Å, with angles of 90.00, 90.00 and 90.00 degrees. The distinct sites, in fractional coordinates, are Sr at (0.000, 0.000, 0.000), Sr at (0.000, 0.500, 0.179), Ca at (0.000, 0.000, 0.349) and Rh at (0.000, 0.500, 0.684).


[3]
A plane-wave DFT calculation with PBE was carried out for an optimized crystal structure of Sr2CaRh2.

The value obtained for the distance to the lowest polymorph of the same formula is 445 meV per atom. The calculated volume is 29.40 Å³/atom. The size of the total moment comes out at 0.0 μB per formula unit. The formation enthalpy at 0 K is 0.18 eV per atom.

The space group is I4/mmm (No. 139) and the conventional cell measures 5.266, 5.266 and 10.603 Å, with angles of 90.00, 90.00 and 90.00 degrees. The distinct sites, in fractional coordinates, are Sr at (0.000, 0.000, 0.155), Ca at (0.000, 0.000, 0.500) and Rh at (0.000, 0.500, 0.250).


[4]
A plane-wave DFT calculation with PBE was carried out for an optimized crystal structure of SrCa2TaRh.

The calculated volume is 27.81 Å³/atom. The size of the total moment comes out at 0.0 μB per formula unit. The formation enthalpy at 0 K is 1.99 eV per atom.

The space group is P4/mmm (No. 123) and the conventional cell measures 5.275, 5.275 and 4.999 Å, with angles of 90.00, 90.00 and 90.00 degrees. The distinct sites, in fractional coordinates, are Sr at (0.000, 0.000, 0.000), Ca at (0.000, 0.500, 0.000), Ta at (0.000, 0.000, 0.500) and Rh at (0.500, 0.500, 0.500).


[5]
A plane-wave DFT calculation with PBE was carried out for an optimized crystal structure of Sr2CaTaRh.

The value obtained for the distance to the lowest polymorph of the same formula is 317 meV per atom. The calculated volume is 32.00 Å³/atom. The size of the total moment comes out at 0.0 μB per formula unit. The formation enthalpy at 0 K is 1.84 eV per atom.

The space group is P4/mmm (No. 123) and the conventional cell measures 5.713, 5.713 and 4.902 Å, with angles of 90.00, 90.00 and 90.00 degrees. The distinct sites, in fractional coordinates, are Sr at (0.000, 0.500, 0.000), Ca at (0.000, 0.000, 0.000), Ta at (0.000, 0.000, 0.500) and Rh at (0.500, 0.500, 0.500).


[6]
A plane-wave DFT calculation with PBE was carried out for an optimized crystal structure of Sr2CaTaRh.

The value obtained for the distance to the lowest polymorph of the same formula is 0 meV per atom. The calculated volume is 36.85 Å³/atom. The size of the total moment comes out at 2.3 μB per formula unit. The formation enthalpy at 0 K is 1.52 eV per atom.

The space group is P4/mmm (No. 123) and the conventional cell measures 5.781, 5.781 and 5.513 Å, with angles of 90.00, 90.00 and 90.00 degrees. The distinct sites, in fractional coordinates, are Sr at (0.000, 0.500, 0.000), Ca at (0.000, 0.000, 0.500), Ta at (0.000, 0.000, 0.000) and Rh at (0.500, 0.500, 0.500).


[7]
A plane-wave DFT calculation with PBE was carried out for an optimized crystal structure of SrCaTeRh.

As for the uncorrected formation energy: -0.60 eV per atom. The calculated volume is 26.29 Å³/atom. The size of the total moment comes out at 0.1 μB per formula unit.

The space group is F-43m (No. 216) and the conventional cell measures 7.493, 7.493 and 7.493 Å, with angles of 90.00, 90.00 and 90.00 degrees. The distinct sites, in fractional coordinates, are Sr at (0.000, 0.000, 0.000), Ca at (0.000, 0.000, 0.500), Te at (0.250, 0.250, 0.250) and Rh at (0.250, 0.250, 0.750).


[8]
A plane-wave DFT calculation with PBE was carried out for an optimized crystal structure of Sr2CaTeRh.

As for the uncorrected formation energy: -0.60 eV per atom. The calculated volume is 35.48 Å³/atom. The size of the total moment comes out at 0.0 μB per formula unit.

The space group is P4/mmm (No. 123) and the conventional cell measures 5.747, 5.747 and 5.372 Å, with angles of 90.00, 90.00 and 90.00 degrees. The distinct sites, in fractional coordinates, are Sr at (0.000, 0.500, 0.000), Ca at (0.000, 0.000, 0.500), Te at (0.500, 0.500, 0.500) and Rh at (0.000, 0.000, 0.000).


[9]
A plane-wave DFT calculation with PBE was carried out for an optimized crystal structure of SrCaTl2Rh.

The calculated volume is 30.46 Å³/atom. The size of the total moment comes out at 0.0 μB per formula unit. The formation enthalpy at 0 K is -0.24 eV per atom.

The space group is P4/mmm (No. 123) and the conventional cell measures 5.406, 5.406 and 5.212 Å, with angles of 90.00, 90.00 and 90.00 degrees. The distinct sites, in fractional coordinates, are Sr at (0.000, 0.000, 0.000), Ca at (0.500, 0.500, 0.000), Tl at (0.000, 0.500, 0.500) and Rh at (0.500, 0.500, 0.500).


[10]
A plane-wave DFT calculation with PBE was carried out for an optimized crystal structure of SrCaTlRh.

The calculated volume is 26.42 Å³/atom. The size of the total moment comes out at 0.0 μB per formula unit. The formation enthalpy at 0 K is -0.21 eV per atom.

The space group is F-43m (No. 216) and the conventional cell measures 7.505, 7.505 and 7.505 Å, with angles of 90.00, 90.00 and 90.00 degrees. The distinct sites, in fractional coordinates, are Sr at (0.000, 0.000, 0.000), Ca at (0.000, 0.000, 0.500), Tl at (0.250, 0.250, 0.250) and Rh at (0.250, 0.250, 0.750).